Below is a geometry-optimized CsBaTa structure, with properties calculated at the PBE level.

Structure (POSCAR):
```
CsBaTa
1.0
11.4483 0.0000 0.0000
0.0000 4.5235 0.0000
0.0000 0.0000 14.4298
Cs Ba Ta
4 4 4
direct
0.1923 0.2500 0.0138 Cs
0.3077 0.7500 0.5138 Cs
0.6923 0.2500 0.4862 Cs
0.8077 0.7500 0.9862 Cs
0.0194 0.2500 0.7051 Ba
0.4806 0.7500 0.2051 Ba
0.5194 0.2500 0.7949 Ba
0.9806 0.7500 0.2949 Ba
0.0284 0.2500 0.4703 Ta
0.4716 0.7500 0.9703 Ta
0.5284 0.2500 0.0297 Ta
0.9716 0.7500 0.5297 Ta
```

Mass density (g/cm3): 4.01
ΔH_f (0 K) (meV per atom): 938
ΔE to the lowest computed polymorph (eV per atom): 0.4119
M_tot (μB/f.u.): 0.0